Compound: NiOs3
Source: the Alexandria database
Functional: GGA-PBEsol
Structure: relaxed

Lattice parameters (Å, degrees): 2.722 4.605 5.003 117.41 105.79 90.00
Fractional coordinates of all 4 atoms:
Os  0.749  0.413  0.498
Os  0.500  0.506  0.000
Os  0.251  0.914  0.502
Ni  0.000  0.000  0.000

Values from the calculation:
Calculated formation energy in eV/atom: 0.147
Symmetry: Imm2

---

Compound: CaAsP2O
Source: the Alexandria database
Functional: GGA-PBEsol
Structure: relaxed

Lattice parameters (Å, degrees): 3.721 4.929 4.929 90.00 90.00 90.00
Fractional coordinates of all 5 atoms:
O  0.500  0.000  0.000
P  0.000  0.500  0.000
P  0.000  0.000  0.500
Ca  0.500  0.500  0.500
As  0.000  0.000  0.000

Values from the calculation:
Raw formation energy in eV/f.u.: -1.2
Symmetry: P4/mmm

---

The calculation returns the following total DFT energy (no corrections) values, one per record and in order: -10.554; -5.053 eV per atom.